(1)
Density functional theory data (PBE-GGA) for a relaxed YVInBi2 crystal.

Geometry as CIF:
```
data_YVInBi2
_chemical_formula_sum 'Y1 V1 In1 Bi2'
_cell_length_a 5.378
_cell_length_b 5.566
_cell_length_c 5.378
_cell_angle_alpha 90.00
_cell_angle_beta 90.00
_cell_angle_gamma 90.00
_space_group_name_H-M_alt 'P 1'
_space_group_IT_number 1
loop_
_space_group_symop_operation_xyz
'x,y,z'
loop_
_atom_site_label
_atom_site_type_symbol
_atom_site_fract_x
_atom_site_fract_y
_atom_site_fract_z
_atom_site_occupancy
Y1 Y 0.000 0.500 0.000 1
V1 V 0.000 0.000 0.000 1
Bi1 Bi 0.000 0.000 0.500 1
Bi2 Bi 0.500 0.000 0.000 1
In1 In 0.500 0.500 0.500 1
```

- Formation energy from the elements: 1.395 eV/f.u.
- Symmetry: P4/mmm
- Magnetic moment: 0.000 μB/atom

(2)
Density functional theory data (PBE-GGA) for a relaxed LaHoPa crystal.

Geometry as CIF:
```
data_LaHoPa
_chemical_formula_sum 'La2 Ho2 Pa2'
_cell_length_a 5.608
_cell_length_b 6.570
_cell_length_c 6.570
_cell_angle_alpha 96.14
_cell_angle_beta 64.73
_cell_angle_gamma 64.73
_space_group_name_H-M_alt 'P 1'
_space_group_IT_number 1
loop_
_space_group_symop_operation_xyz
'x,y,z'
loop_
_atom_site_label
_atom_site_type_symbol
_atom_site_fract_x
_atom_site_fract_y
_atom_site_fract_z
_atom_site_occupancy
La1 La 0.000 0.838 0.162 1
La2 La 0.000 0.162 0.838 1
Ho1 Ho 0.500 0.666 0.334 1
Ho2 Ho 0.500 0.334 0.666 1
Pa1 Pa 0.803 0.697 0.697 1
Pa2 Pa 0.197 0.303 0.303 1
```

- Formation energy from the elements: 0.764 eV/f.u.
- ΔE to the lowest computed polymorph: 0.111 eV per atom
- Symmetry: Immm
- Magnetic moment: 0.000 μB/atom